Compound: RbTaCd
Source: Alexandria
Functional: PBE
Structure: optimized geometry

Unit cell a=5.2576 b=7.3392 c=6.3542 alpha=54.72 beta=65.56 gamma=90.00
Element x y z (fractional)
1 Cd 0.5000 0.5000 0.0000
2 Cd 0.5000 0.0000 0.0000
3 Rb 0.1344 0.3844 0.7311
4 Rb 0.8656 0.6156 0.2689
5 Ta 0.5000 0.0000 0.5000
6 Ta 0.0000 0.0000 0.5000

Summary:
* V: 28.76 Å³ per atom

=====

Compound: MgTa2Mn
Source: Alexandria
Functional: PBE
Structure: optimized geometry

Unit cell a=9.0688 b=9.0688 c=9.0688 alpha=19.01 beta=19.01 gamma=19.01
Each line ends with the local moment (μB).
Element x y z (fractional)
1 Ta 0.0129 0.0129 0.0129  -0.05
2 Ta 0.4871 0.4871 0.4871  -0.05
3 Mg 0.2500 0.2500 0.2500  0.00
4 Mn 0.7500 0.7500 0.7500  0.33

Summary:
* V: 17.29 Å³ per atom

=====

Compound: Ba2TmSn3Pt4
Source: Alexandria
Functional: PBE
Structure: optimized geometry

Unit cell a=4.7570 b=4.7570 c=11.1552 alpha=90.00 beta=90.00 gamma=90.00
Element x y z (fractional)
1 Ba 0.0000 0.5000 0.7639
2 Ba 0.5000 0.0000 0.2361
3 Pt 0.5000 0.0000 0.6356
4 Pt 0.0000 0.0000 0.0000
5 Pt 0.0000 0.5000 0.3644
6 Pt 0.5000 0.5000 0.0000
7 Sn 0.5000 0.0000 0.8810
8 Sn 0.0000 0.5000 0.1190
9 Sn 0.0000 0.0000 0.5000
10 Tm 0.5000 0.5000 0.5000

Summary:
* V: 25.24 Å³ per atom

=====

What did we get for DOS at the Fermi energy? Answer: 6.6; 2.5; 4.6 states/eV/cell, in the order shown.
What did we get for E? Answer: -3.7295; -8.3237; -5.3228 eV/atom, in the order shown.